Entry 1:
{"formula": "Sm8HC3Br3", "functional": "PBE", "state": "relaxed", "cell": [[-3.341, 0.380, -6.749], [3.113, -6.469, 2.310], [-7.127, 2.274, 3.654]], "species": ["C", "C", "C", "Sm", "Sm", "Sm", "Sm", "Sm", "Sm", "Sm", "Sm", "Br", "Br", "Br", "H"], "frac_coords": [[0.500, 0.000, 0.500], [0.500, 0.500, 0.500], [0.000, 0.500, 0.500], [0.755, 0.047, 0.302], [0.245, 0.489, 0.698], [0.709, 0.953, 0.698], [0.729, 0.458, 0.686], [0.245, 0.953, 0.698], [0.291, 0.047, 0.302], [0.755, 0.511, 0.302], [0.271, 0.542, 0.314], [0.000, 0.000, 0.000], [0.500, 0.500, 0.000], [0.000, 0.500, 0.000], [0.000, 0.000, 0.500]], "space_group": "No. 166", "e_tot_ev_per_atom": -5.615, "volume_a3_per_cell": 349}



Entry 2:
{"formula": "Ti3VTe4", "functional": "PBE", "state": "relaxed", "cell": [[6.338, 0.000, 0.000], [0.000, 6.919, 0.000], [0.000, 0.000, 8.214]], "species": ["V", "V", "Te", "Te", "Te", "Te", "Te", "Te", "Te", "Te", "Ti", "Ti", "Ti", "Ti", "Ti", "Ti"], "frac_coords": [[0.889, 0.931, 0.000], [0.389, 0.069, 0.500], [0.168, 0.720, 0.500], [0.668, 0.280, 0.000], [0.693, 0.334, 0.500], [0.164, 0.147, 0.779], [0.193, 0.666, 0.000], [0.664, 0.853, 0.721], [0.164, 0.147, 0.221], [0.664, 0.853, 0.279], [0.409, 0.478, 0.726], [0.620, 0.662, 0.000], [0.409, 0.478, 0.274], [0.120, 0.338, 0.500], [0.909, 0.522, 0.774], [0.909, 0.522, 0.226]], "space_group": "No. 31", "e_tot_ev_per_atom": -6.123, "volume_a3_per_cell": 360}



Entry 3:
{"formula": "DyHo2Fe9", "functional": "PBE", "state": "relaxed", "cell": [[4.866, 0.000, 1.448], [2.217, 4.331, 1.448], [0.097, 0.059, 8.573]], "species": ["Fe", "Fe", "Fe", "Fe", "Fe", "Fe", "Fe", "Fe", "Fe", "Dy", "Ho", "Ho"], "frac_coords": [[0.667, 0.667, 0.999], [0.582, 0.582, 0.755], [0.418, 0.918, 0.245], [0.333, 0.333, 0.001], [0.418, 0.418, 0.245], [0.500, 0.500, 0.500], [0.582, 0.082, 0.755], [0.082, 0.582, 0.755], [0.918, 0.418, 0.245], [0.000, 0.000, 0.000], [0.142, 0.142, 0.574], [0.858, 0.858, 0.426]], "delta_e_f_ev_per_atom": -0.08, "space_group": "No. 166", "volume_a3_per_cell": 180}